Record 1
A crystal of MnN2Cl relaxed with PBEsol, computed with meta-GGA SCAN.

Lattice parameters (Å, degrees): 6.523 6.523 6.523 26.22 26.22 26.22
Atoms (fractional coordinates):
1 Mn 0.000 0.000 0.000
2 N 0.089 0.089 0.089
3 N 0.911 0.911 0.911
4 Cl 0.500 0.500 0.500

SG ... No. 166
D(E_F) ... 2.37 states/eV/cell
Raw formation energy ... 7.312 eV per formula unit

---

Record 2
A crystal of MnNCl3 relaxed with PBEsol, computed with meta-GGA SCAN.

Lattice parameters (Å, degrees): 4.672 4.672 4.672 90.00 90.00 90.00
Atoms (fractional coordinates):
1 Mn 0.000 0.000 0.000
2 N 0.500 0.500 0.500
3 Cl 0.000 0.000 0.500
4 Cl 0.000 0.500 0.000
5 Cl 0.500 0.000 0.000

SG ... No. 221
D(E_F) ... 0.65 states/eV/cell
Raw formation energy ... 0.118 eV per formula unit